Entry 1:
# Sm5AlAu4

Crystalline Sm5AlAu4 at its relaxed geometry (PBE-GGA, the Alexandria database).

Cell: 3.6578 3.6578 18.5594 Å, 90.00 90.00 90.00°
Element x y z (fractional)
1 Sm 0.5000 0.5000 0.1019
2 Sm 0.5000 0.5000 0.3005
3 Sm 0.5000 0.5000 0.5000
4 Sm 0.5000 0.5000 0.6995
5 Sm 0.5000 0.5000 0.8981
6 Al 0.0000 0.0000 0.0000
7 Au 0.0000 0.0000 0.1986
8 Au 0.0000 0.0000 0.4012
9 Au 0.0000 0.0000 0.5988
10 Au 0.0000 0.0000 0.8014

Results
energy relative to the elements = -0.709 eV per atom
E = -4.754 eV per atom
DOS at the Fermi energy = 6.6 states/eV/cell

Entry 2:
# SmAlAu2

Crystalline SmAlAu2 at its relaxed geometry (PBE-GGA, the Alexandria database).

Cell: 3.3144 3.3144 7.3301 Å, 90.00 90.00 90.00°
Element x y z (fractional)
1 Au 0.0000 0.0000 0.7920
2 Au 0.0000 0.0000 0.2080
3 Al 0.5000 0.5000 0.0000
4 Sm 0.5000 0.5000 0.5000

Results
energy relative to the elements = -0.560 eV per atom
E = -4.314 eV per atom
DOS at the Fermi energy = 2.5 states/eV/cell

Entry 3:
# SmAlAu2

Crystalline SmAlAu2 at its relaxed geometry (PBE-GGA, the Alexandria database).

Cell: 5.7350 7.1634 8.0840 Å, 90.00 90.00 90.00°
Element x y z (fractional)
1 Sm 0.3501 0.2500 0.0500
2 Sm 0.8501 0.7500 0.4500
3 Sm 0.6499 0.7500 0.9500
4 Sm 0.1499 0.2500 0.5500
5 Al 0.6491 0.2500 0.3876
6 Al 0.1491 0.7500 0.1124
7 Al 0.3509 0.7500 0.6124
8 Al 0.8509 0.2500 0.8876
9 Au 0.8905 0.0481 0.1772
10 Au 0.3905 0.9519 0.3228
11 Au 0.1095 0.5481 0.8228
12 Au 0.6095 0.4519 0.6772
13 Au 0.1095 0.9519 0.8228
14 Au 0.6095 0.0481 0.6772
15 Au 0.8905 0.4519 0.1772
16 Au 0.3905 0.5481 0.3228

Results
energy relative to the elements = -0.732 eV per atom
E = -4.486 eV per atom
DOS at the Fermi energy = 10.5 states/eV/cell

Entry 4:
# SmAl3Au10

Crystalline SmAl3Au10 at its relaxed geometry (PBE-GGA, the Alexandria database).

Cell: 9.2056 9.2052 9.2052 Å, 60.00 60.00 60.00°
Element x y z (fractional)
1 Sm 0.2500 0.2500 0.2500
2 Sm 0.7500 0.7500 0.7500
3 Al 0.7357 0.7357 0.2643
4 Al 0.7357 0.2643 0.7357
5 Al 0.2643 0.7357 0.7357
6 Al 0.2643 0.2643 0.7357
7 Al 0.7357 0.2643 0.2643
8 Al 0.2643 0.7357 0.2643
9 Au 0.0000 0.0000 0.3436
10 Au 0.0000 0.3436 0.0000
11 Au 0.3436 0.0000 0.0000
12 Au 0.6564 0.3436 0.0000
13 Au 0.3833 0.3833 0.3833
14 Au 0.1500 0.6167 0.6167
15 Au 0.3833 0.8500 0.3833
16 Au 0.6564 0.0000 0.3436
17 Au 0.3833 0.3833 0.8500
18 Au 0.8500 0.3833 0.3833
19 Au 0.6167 0.6167 0.1500
20 Au 0.0000 0.0000 0.6564
21 Au 0.3436 0.6564 0.0000
22 Au 0.0000 0.6564 0.3436
23 Au 0.0000 0.3436 0.6564
24 Au 0.6564 0.0000 0.0000
25 Au 0.6167 0.6167 0.6167
26 Au 0.0000 0.6564 0.0000
27 Au 0.6167 0.1500 0.6167
28 Au 0.3436 0.0000 0.6564

Results
energy relative to the elements = -0.297 eV per atom
E = -3.777 eV per atom
DOS at the Fermi energy = 9.8 states/eV/cell